# BaLi2Au6

BaLi2Au6 after structural relaxation (PBE, Alexandria via LeMat-Bulk).

Cell lengths 5.551, 5.551, 8.382 Å; angles 90.00, 90.00, 120.00 degrees
Element x y z (fractional)
Ba (0.000, 0.000, 0.000)
Li (0.333, 0.667, 0.500)
Li (0.667, 0.333, 0.500)
Au (0.500, 0.000, 0.241)
Au (0.500, 0.500, 0.241)
Au (0.000, 0.500, 0.241)
Au (0.500, 0.500, 0.759)
Au (0.000, 0.500, 0.759)
Au (0.500, 0.000, 0.759)

Spin magnetization (μB per cell): 0.0
Total energy (eV/atom): -3.233
N(E_F) (states/eV per cell): 2.8